(1)
4
Lattice="-2.388 3.609 -0.678 -3.573 0.748 2.419 0.001 3.217 2.972" Properties=species:S:1:pos:R:3 comment="PBE TcOs2Cl, relaxed" magnetic_moment_mub_per_atom=0.0000 e_above_lowest_polymorph_ev_per_fu=2.45 raw_formation_energy_ev_per_fu=4.2 spacegroup=F-43m pbc="T T T"
Tc -4.470 5.680 3.535
Os 0.000 0.000 0.000
Os -1.490 1.893 1.178
Cl -2.980 3.787 2.357



(2)
5
Lattice="5.215 0.000 0.000 0.000 5.215 0.000 2.607 2.607 4.557" Properties=species:S:1:pos:R:3 comment="PBE YBi2Mo2, relaxed" magnetic_moment_mub_per_atom=0.0000 e_above_lowest_polymorph_ev_per_fu=0.00 formation_energy_ev_per_atom=0.23 spacegroup=I4/mmm pbc="T T T"
Mo 5.215 5.215 3.460
Mo 2.607 2.607 1.097
Y 0.000 0.000 0.000
Bi 2.607 5.215 2.279
Bi 5.215 2.607 2.279



(3)
4
Lattice="-4.368 0.796 -0.312 -2.839 -2.060 2.740 -1.968 3.212 3.991" Properties=species:S:1:pos:R:3 comment="PBE TmGa2Ge, relaxed" magnetic_moment_mub_per_atom=0.0000 e_above_lowest_polymorph_ev_per_fu=1.01 formation_energy_ev_per_atom=-0.23 spacegroup=R-3m pbc="T T T"
Ga -6.845 1.764 5.080
Ga -2.330 0.183 1.339
Tm -4.587 0.974 3.209
Ge 0.000 0.000 0.000



(4)
5
Lattice="4.361 0.000 0.000 0.000 4.361 0.000 0.000 0.000 4.361" Properties=species:S:1:pos:R:3 comment="PBE MnNiS3, relaxed" magnetic_moment_mub_per_atom=0.0323 e_above_lowest_polymorph_ev_per_fu=6.55 raw_formation_energy_ev_per_fu=4.4 spacegroup=Pm-3m pbc="T T T"
S 0.000 2.181 0.000
S 0.000 0.000 2.181
S 2.181 0.000 0.000
Ni 0.000 0.000 0.000
Mn 2.181 2.181 2.181